PBE-GGA CaMg3Zn3, relaxed; E_tot = -22.78 eV/cell; energy of formation = -75.4 kJ/mol of formula units; SG = P2_1/m (11); polymorph energy (0 for the lowest one) = 0.0 kJ/mol of atoms
1.0
8.381 0.000 0.000
0.000 4.769 0.000
-4.189 0.000 7.290
Ca Mg Zn
2 6 6
Direct
0.166 0.250 0.333 Ca
0.834 0.750 0.667 Ca
0.257 0.250 0.771 Mg
0.272 0.750 0.014 Mg
0.486 0.750 0.757 Mg
0.514 0.250 0.243 Mg
0.728 0.250 0.986 Mg
0.743 0.750 0.229 Mg
0.030 0.250 0.926 Zn
0.105 0.750 0.529 Zn
0.425 0.750 0.396 Zn
0.575 0.250 0.604 Zn
0.895 0.250 0.471 Zn
0.970 0.750 0.074 Zn